# 1
Here is a relaxed TePCl2 crystal from the Alexandria database. Energies are from PBE-GGA.

Lattice parameters (Å, degrees): 7.0203 7.0203 7.0203 90.00 90.00 90.00
Element x y z (fractional)
Te 0.0000 0.0000 0.0000
Te 0.0000 0.5000 0.5000
Te 0.5000 0.0000 0.5000
Te 0.5000 0.5000 0.0000
P 0.0000 0.0000 0.5000
P 0.0000 0.5000 0.0000
P 0.5000 0.0000 0.0000
P 0.5000 0.5000 0.5000
Cl 0.2500 0.2500 0.2500
Cl 0.2500 0.2500 0.7500
Cl 0.2500 0.7500 0.2500
Cl 0.2500 0.7500 0.7500
Cl 0.7500 0.2500 0.2500
Cl 0.7500 0.2500 0.7500
Cl 0.7500 0.7500 0.2500
Cl 0.7500 0.7500 0.7500

Results
Total magnetization, μB per atom: 0.000
Distance to the lowest polymorph of the same formula, eV/atom: 0.952
Formation energy without anion corrections, eV/f.u.: 3.01

---

# 2
Here is a relaxed TePCl2 crystal from the Alexandria database. Energies are from PBE-GGA.

Lattice parameters (Å, degrees): 7.5156 7.5156 10.8187 90.00 90.00 90.00
Element x y z (fractional)
Te 0.0000 0.2500 0.3750
Te 0.0000 0.7500 0.6250
Te 0.5000 0.2500 0.1250
Te 0.5000 0.7500 0.8750
P 0.0000 0.2500 0.8750
P 0.0000 0.7500 0.1250
P 0.5000 0.2500 0.6250
P 0.5000 0.7500 0.3750
Cl 0.0000 0.0000 0.0000
Cl 0.0000 0.5000 0.0000
Cl 0.2500 0.2500 0.7500
Cl 0.2500 0.7500 0.2500
Cl 0.5000 0.0000 0.5000
Cl 0.5000 0.5000 0.5000
Cl 0.7500 0.2500 0.7500
Cl 0.7500 0.7500 0.2500

Results
Total magnetization, μB per atom: 0.479
Distance to the lowest polymorph of the same formula, eV/atom: 0.727
Formation energy without anion corrections, eV/f.u.: 2.11

---

# 3
Here is a relaxed TePCl crystal from the Alexandria database. Energies are from PBE-GGA.

Lattice parameters (Å, degrees): 13.2443 3.8158 4.1679 90.00 95.39 90.00
Element x y z (fractional)
Te 0.0000 0.0000 0.0000
Te 0.5000 0.5000 0.0000
P 0.4567 0.0000 0.5936
P 0.9567 0.5000 0.5936
Cl 0.2998 0.0000 0.5294
Cl 0.7998 0.5000 0.5294

Results
Total magnetization, μB per atom: 0.000
Formation energy without anion corrections, eV/f.u.: -0.53

---

# 4
Here is a relaxed TePCl2 crystal from the Alexandria database. Energies are from PBE-GGA.

Lattice parameters (Å, degrees): 3.2766 3.2766 30.8934 90.00 90.00 120.00
Element x y z (fractional)
Te 0.0000 0.0000 0.0000
Te 0.3333 0.6667 0.6667
Te 0.6667 0.3333 0.3333
P 0.0000 0.0000 0.5000
P 0.3333 0.6667 0.1667
P 0.6667 0.3333 0.8333
Cl 0.0000 0.0000 0.1063
Cl 0.0000 0.0000 0.8937
Cl 0.3333 0.6667 0.5604
Cl 0.3333 0.6667 0.7730
Cl 0.6667 0.3333 0.2270
Cl 0.6667 0.3333 0.4396

Results
Total magnetization, μB per atom: 0.000
Distance to the lowest polymorph of the same formula, eV/atom: 0.566
Formation energy without anion corrections, eV/f.u.: 1.46

---

# 5
Here is a relaxed TePCl crystal from the Alexandria database. Energies are from PBE-GGA.

Lattice parameters (Å, degrees): 6.7582 6.7582 6.7582 90.00 90.00 90.00
Element x y z (fractional)
Te 0.0000 0.0000 0.0000
Te 0.0000 0.5000 0.5000
Te 0.5000 0.0000 0.5000
Te 0.5000 0.5000 0.0000
P 0.2500 0.2500 0.2500
P 0.2500 0.7500 0.7500
P 0.7500 0.2500 0.7500
P 0.7500 0.7500 0.2500
Cl 0.2500 0.2500 0.7500
Cl 0.2500 0.7500 0.2500
Cl 0.7500 0.2500 0.2500
Cl 0.7500 0.7500 0.7500

Results
Total magnetization, μB per atom: 0.000
Formation energy without anion corrections, eV/f.u.: 1.21

---

# 6
Here is a relaxed TePCl crystal from the Alexandria database. Energies are from PBE-GGA.

Lattice parameters (Å, degrees): 3.7936 3.7936 19.4663 90.00 90.00 120.00
Element x y z (fractional)
Te 0.0000 0.0000 0.0000
Te 0.3333 0.6667 0.6667
Te 0.6667 0.3333 0.3333
P 0.0000 0.0000 0.2541
P 0.3333 0.6667 0.9208
P 0.6667 0.3333 0.5874
Cl 0.0000 0.0000 0.5074
Cl 0.3333 0.6667 0.1740
Cl 0.6667 0.3333 0.8407

Results
Total magnetization, μB per atom: 0.000
Formation energy without anion corrections, eV/f.u.: -0.39

---

# 7
Here is a relaxed Te2P2Cl crystal from the Alexandria database. Energies are from PBE-GGA.

Lattice parameters (Å, degrees): 4.7813 4.7813 11.9534 90.00 90.00 90.00
Element x y z (fractional)
Te 0.0000 0.0000 0.1553
Te 0.0000 0.0000 0.8447
Te 0.5000 0.5000 0.3447
Te 0.5000 0.5000 0.6553
P 0.0000 0.5000 0.2500
P 0.0000 0.5000 0.7500
P 0.5000 0.0000 0.2500
P 0.5000 0.0000 0.7500
Cl 0.0000 0.0000 0.5000
Cl 0.5000 0.5000 0.0000

Results
Total magnetization, μB per atom: 0.000
Distance to the lowest polymorph of the same formula, eV/atom: 0.000
Formation energy without anion corrections, eV/f.u.: 0.93

---

# 8
Here is a relaxed TePCl crystal from the Alexandria database. Energies are from PBE-GGA.

Lattice parameters (Å, degrees): 6.7031 6.7031 6.7031 90.00 90.00 90.00
Element x y z (fractional)
Te 0.0000 0.0000 0.0000
Te 0.0000 0.5000 0.5000
Te 0.5000 0.0000 0.5000
Te 0.5000 0.5000 0.0000
P 0.2500 0.2500 0.7500
P 0.2500 0.7500 0.2500
P 0.7500 0.2500 0.2500
P 0.7500 0.7500 0.7500
Cl 0.0000 0.0000 0.5000
Cl 0.0000 0.5000 0.0000
Cl 0.5000 0.0000 0.0000
Cl 0.5000 0.5000 0.5000

Results
Total magnetization, μB per atom: 0.000
Formation energy without anion corrections, eV/f.u.: 1.06